Density functional theory data (GGA-PBE) for crystalline Tb4Pr5Er2 at its relaxed geometry.

Properties
Symmetry ... C2/m (12)
Crystal system ... monoclinic
Energy of formation ... 128 meV/atom

Cell: 12.1400 12.1400 9.3754 Å, 67.87 67.87 17.24°
With the nearest neighbours (Å) after each atom.
Element x y z (fractional)
Pr  0.1140  0.1140  0.5738  3 Er 3.47-3.71, 2 Tb 3.52-3.57, 3 Pr 3.57-3.64
Pr  0.5000  0.5000  0.0000  6 Pr 3.55-3.64, 4 Tb 3.81
Pr  0.8860  0.8860  0.4262  3 Er 3.47-3.71, 2 Tb 3.52-3.57, 3 Pr 3.57-3.64
Pr  0.1347  0.1347  0.9315  3 Tb 3.30-3.49, 2 Er 3.32, 5 Pr 3.55-3.64
Pr  0.8653  0.8653  0.0685  3 Tb 3.30-3.49, 2 Er 3.32, 5 Pr 3.55-3.64
Er  0.2665  0.2665  0.3457  4 Er 3.25-3.64, 3 Pr 3.32-3.47, 2 Tb 3.46
Er  0.7335  0.7335  0.6543  4 Er 3.25-3.64, 3 Pr 3.32-3.47, 2 Tb 3.46
Tb  0.3146  0.3146  0.8237  2 Er 3.46, 2 Pr 3.49, 4 Tb 3.63-3.64
Tb  0.0443  0.0443  0.2985  3 Pr 3.30-3.57, 5 Tb 3.56-3.64
Tb  0.9557  0.9557  0.7015  3 Pr 3.30-3.57, 5 Tb 3.56-3.64
Tb  0.6854  0.6854  0.1763  2 Er 3.46, 2 Pr 3.49, 4 Tb 3.63-3.64